(1)
Material: AcDy2Ho3
Method: DFT, PBE-GGA
State: optimized geometry

Geometry as POSCAR:
```
AcDy2Ho3
1.0
6.6989 0.5127 -0.5182
-1.1192 6.6246 -0.5182
-0.5444 -0.6963 8.9737
Dy Ho Ac
4 6 2
Cartesian
3.7989 0.9239 2.9683
-0.2925 3.5614 7.4551
5.3278 2.8796 0.4823
1.2365 5.5171 4.9691
2.1750 1.3477 -0.2098
2.8603 5.0933 8.1472
4.5246 4.3531 3.6604
3.0303 2.5393 6.2121
0.5107 2.0878 4.2771
2.0050 3.9017 1.7253
-0.6691 5.9923 1.7253
5.7045 0.4487 6.2121
```

- Final energy: -0.3235 Ry/atom
- SG: C2/c (15)

***

(2)
Material: Th2TeH
Method: DFT, PBE-GGA
State: optimized geometry

Geometry as POSCAR:
```
Th2TeH
1.0
-0.8056 2.1411 3.1007
-3.5775 1.3203 0.5531
-3.1768 -5.1247 5.1076
Th Te H
2 1 1
Cartesian
-1.7979 -0.0789 1.9816
-5.7620 -1.5844 6.7797
-3.7800 -0.8317 4.3807
0.0000 0.0000 0.0000
```

- SG: R-3m (166)
- E above lowest polymorph: 0.00 eV/f.u.

***

(3)
Material: NaSe2S2
Method: DFT, PBE-GGA
State: optimized geometry

Geometry as POSCAR:
```
NaSe2S2
1.0
-2.4791 4.3952 0.9442
-0.2672 -1.2204 4.9794
2.8913 3.8257 3.7392
S Se Na
2 2 1
Cartesian
-0.4805 4.9042 3.8226
0.6255 2.0964 5.8402
0.3894 2.5125 3.2831
-0.2444 4.4880 6.3796
0.0000 0.0000 0.0000
```

- Formation energy without anion corrections: -0.091 eV per atom
- SG: I4/mmm (139)
- E above lowest polymorph: 0.29 eV/f.u.